First-principles (PBE-GGA) data for a geometry-optimized Pr4PuSb5 structure, as listed in the Alexandria database.

Cell: 16.336 16.336 16.336 Å, 164.04 164.04 22.65°
Sites, in units of the cell vectors:
Pr 0.100 0.100 0.000
Pr 0.301 0.301 0.000
Pr 0.699 0.699 0.000
Pr 0.900 0.900 0.000
Pu 0.500 0.500 0.000
Sb 0.000 0.000 0.000
Sb 0.200 0.200 0.000
Sb 0.402 0.402 0.000
Sb 0.598 0.598 0.000
Sb 0.800 0.800 0.000

**Raw total energy**: -6.4703 eV/atom
**SG**: I4/mmm (139)